No. 1
This record from the Alexandria database describes a relaxed Cs2Np2CrS6 crystal. The functional is GGA-PBE.

Lattice parameters (Å, degrees): 6.738 6.738 8.523 97.74 97.74 119.49
Each line ends with the local moment (μB).
Positions (direct):
Cs1 0.168 0.832 0.000  0.00
Cs2 0.832 0.168 0.000  0.00
Np1 0.667 0.333 0.500  3.53
Np2 0.333 0.667 0.500  3.53
S1 0.627 0.941 0.329  -0.10
S2 0.941 0.627 0.329  -0.10
S3 0.253 0.253 0.331  -0.10
S4 0.373 0.059 0.671  -0.10
S5 0.059 0.373 0.671  -0.10
S6 0.747 0.747 0.669  -0.10
Cr1 0.000 0.000 0.500  3.13

**M_tot**: 10.0 μB per formula unit
**Formation energy without anion corrections**: -13.184 eV per formula unit
**Symmetry**: No. 12
**N(E_F)**: 18.893 states/eV/cell

***

No. 2
This record from the Alexandria database describes a relaxed Nd10In3Sn3 crystal. The functional is GGA-PBE.

Lattice parameters (Å, degrees): 6.889 9.308 9.308 120.00 90.00 90.00
Positions (direct):
Nd1 0.500 0.758 0.000
Nd2 0.749 0.333 0.667
Nd3 0.000 0.000 0.238
Nd4 0.251 0.667 0.333
Nd5 0.251 0.333 0.667
Nd6 0.000 0.762 0.762
Nd7 0.749 0.667 0.333
Nd8 0.000 0.238 0.000
Nd9 0.500 0.242 0.242
Nd10 0.500 0.000 0.758
In1 0.000 0.000 0.599
In2 0.000 0.401 0.401
In3 0.000 0.599 0.000
Sn1 0.500 0.605 0.605
Sn2 0.500 0.000 0.395
Sn3 0.500 0.395 0.000

**Energy**: -76.05 eV/cell
**M_tot**: 0.0 μB per formula unit
**Symmetry**: No. 189
**N(E_F)**: 21.599 states/eV/cell

***

No. 3
This record from the Alexandria database describes a relaxed Dy2Al5Au3 crystal. The functional is GGA-PBE.

Lattice parameters (Å, degrees): 6.066 8.618 8.618 78.74 69.39 69.39
Positions (direct):
Al1 0.992 0.758 0.758
Al2 0.508 0.242 0.242
Al3 0.008 0.242 0.242
Al4 0.614 0.741 0.031
Al5 0.386 0.259 0.969
Al6 0.886 0.969 0.259
Al7 0.750 0.500 0.500
Al8 0.492 0.758 0.758
Al9 0.250 0.500 0.500
Al10 0.114 0.031 0.741
Dy1 0.371 0.869 0.389
Dy2 0.629 0.131 0.611
Dy3 0.129 0.611 0.131
Dy4 0.871 0.389 0.869
Au1 0.371 0.499 0.760
Au2 0.629 0.501 0.240
Au3 0.129 0.240 0.501
Au4 0.250 0.000 0.000
Au5 0.750 0.000 0.000
Au6 0.871 0.760 0.499

**Energy**: -88.62 eV/cell
**M_tot**: 0.0 μB per formula unit
**Symmetry**: No. 72
**N(E_F)**: 7.799 states/eV/cell

***

No. 4
This record from the Alexandria database describes a relaxed SrAlAgAu2 crystal. The functional is GGA-PBE.

Lattice parameters (Å, degrees): 4.260 4.260 6.957 107.83 107.83 90.00
Positions (direct):
Ag1 0.250 0.750 0.500
Au1 0.611 0.611 0.223
Au2 0.389 0.389 0.777
Sr1 0.000 0.000 0.000
Al1 0.750 0.250 0.500

**Energy**: -17.22 eV/cell
**M_tot**: 0.0 μB per formula unit
**Symmetry**: No. 119
**N(E_F)**: 1.679 states/eV/cell

***

No. 5
This record from the Alexandria database describes a relaxed ZnCdFeIr crystal. The functional is GGA-PBE.

Lattice parameters (Å, degrees): 4.401 4.401 4.401 60.00 60.00 60.00
Each line ends with the local moment (μB).
Positions (direct):
Cd1 0.250 0.250 0.250  -0.03
Ir1 0.750 0.750 0.750  0.32
Zn1 0.000 0.000 0.000  -0.02
Fe1 0.500 0.500 0.500  2.81

**Energy**: -19.15 eV/cell
**M_tot**: 3.1 μB per formula unit
**Symmetry**: No. 216
**N(E_F)**: 2.031 states/eV/cell

***

No. 6
This record from the Alexandria database describes a relaxed K2CeTlBr6 crystal. The functional is GGA-PBE.

Lattice parameters (Å, degrees): 7.944 8.571 11.558 90.00 88.57 90.00
Each line ends with the local moment (μB).
Positions (direct):
Tl1 0.500 0.000 0.000  0.00
Tl2 0.000 0.500 0.500  0.00
Br1 0.203 0.176 0.436  -0.01
Br2 0.358 0.940 0.732  -0.01
Br3 0.797 0.824 0.564  -0.01
Br4 0.836 0.786 0.921  -0.01
Br5 0.642 0.060 0.268  -0.01
Br6 0.297 0.676 0.064  -0.01
Br7 0.336 0.714 0.421  -0.01
Br8 0.164 0.214 0.079  -0.01
Br9 0.858 0.560 0.232  -0.01
Br10 0.664 0.286 0.579  -0.01
Br11 0.142 0.440 0.768  -0.01
Br12 0.703 0.324 0.936  -0.01
Ce1 0.500 0.000 0.500  0.98
Ce2 0.000 0.500 0.000  0.98
K1 0.966 0.085 0.744  0.00
K2 0.034 0.915 0.256  0.00
K3 0.534 0.585 0.756  0.00
K4 0.466 0.415 0.244  0.00

**M_tot**: 1.0 μB per formula unit
**Formation energy without anion corrections**: -16.161 eV per formula unit
**Symmetry**: No. 14
**N(E_F)**: 16.283 states/eV/cell

***

No. 7
This record from the Alexandria database describes a relaxed Ba2Al4Ga3Au crystal. The functional is GGA-PBE.

Lattice parameters (Å, degrees): 4.532 4.532 11.203 90.00 90.00 90.00
Positions (direct):
Al1 0.000 0.000 0.000
Al2 0.000 0.500 0.375
Al3 0.500 0.000 0.625
Al4 0.500 0.500 0.000
Ga1 0.000 0.500 0.133
Ga2 0.000 0.000 0.500
Ga3 0.500 0.000 0.867
Ba1 0.000 0.500 0.751
Ba2 0.500 0.000 0.249
Au1 0.500 0.500 0.500

**Energy**: -35.33 eV/cell
**M_tot**: 0.0 μB per formula unit
**Symmetry**: No. 115
**N(E_F)**: 3.030 states/eV/cell

***

No. 8
This record from the Alexandria database describes a relaxed VPdS2 crystal. The functional is GGA-PBE.

Lattice parameters (Å, degrees): 7.000 3.297 3.297 119.99 103.66 76.34
Positions (direct):
S1 0.947 0.250 0.891
S2 0.527 0.390 0.751
V1 0.730 0.989 0.152
Pd1 0.301 0.133 0.009

**M_tot**: 0.0 μB per formula unit
**Formation energy without anion corrections**: -2.665 eV per formula unit
**Symmetry**: No. 160
**N(E_F)**: 2.666 states/eV/cell

***

No. 9
This record from the Alexandria database describes a relaxed GdMnC crystal. The functional is GGA-PBE.

Lattice parameters (Å, degrees): 2.832 2.832 5.289 105.53 105.53 90.00
Each line ends with the local moment (μB).
Positions (direct):
Mn1 0.277 0.277 0.554  0.33
Gd1 0.005 0.005 0.009  7.22
C1 0.718 0.718 0.437  -0.04

**Energy**: -31.20 eV/cell
**M_tot**: 7.6 μB per formula unit
**Symmetry**: No. 107
**N(E_F)**: 3.252 states/eV/cell

***

No. 10
This record from the Alexandria database describes a relaxed Ce6Si3Hg crystal. The functional is GGA-PBE.

Lattice parameters (Å, degrees): 7.413 8.175 8.521 90.00 95.52 90.00
Each line ends with the local moment (μB).
Positions (direct):
Si1 0.000 0.000 0.500  -0.01
Si2 0.035 0.641 0.240  -0.01
Si3 0.465 0.141 0.260  -0.01
Si4 0.965 0.359 0.760  -0.01
Si5 0.535 0.859 0.740  -0.01
Si6 0.500 0.500 0.000  -0.01
Ce1 0.378 0.823 0.085  0.46
Ce2 0.680 0.154 0.590  0.41
Ce3 0.320 0.846 0.410  0.41
Ce4 0.262 0.116 0.749  0.39
Ce5 0.622 0.177 0.915  0.46
Ce6 0.878 0.677 0.585  0.46
Ce7 0.180 0.346 0.090  0.41
Ce8 0.238 0.616 0.751  0.39
Ce9 0.820 0.654 0.910  0.41
Ce10 0.738 0.884 0.251  0.39
Ce11 0.762 0.384 0.249  0.39
Ce12 0.122 0.323 0.415  0.46
Hg1 0.000 0.000 0.000  0.00
Hg2 0.500 0.500 0.500  0.00

**M_tot**: 2.9 μB per formula unit
**Formation energy without anion corrections**: -2.836 eV per formula unit
**Symmetry**: No. 14
**N(E_F)**: 48.229 states/eV/cell

***

No. 11
This record from the Alexandria database describes a relaxed GaTcBi2 crystal. The functional is GGA-PBE.

Lattice parameters (Å, degrees): 3.202 3.202 11.575 82.05 82.05 60.00
Each line ends with the local moment (μB).
Positions (direct):
Ga1 0.500 0.500 0.500  0.00
Bi1 0.081 0.081 0.757  0.03
Bi2 0.919 0.919 0.243  0.03
Tc1 0.000 0.000 0.000  1.45

**Energy**: -18.00 eV/cell
**M_tot**: 1.7 μB per formula unit
**Symmetry**: No. 166
**N(E_F)**: 3.839 states/eV/cell

***

No. 12
This record from the Alexandria database describes a relaxed PuZn2CuO6 crystal. The functional is GGA-PBE.

Lattice parameters (Å, degrees): 5.710 5.207 8.043 90.00 95.54 90.00
Each line ends with the local moment (μB).
Positions (direct):
Pu1 0.000 0.500 0.500  -2.25
Pu2 0.500 0.000 0.000  -2.25
O1 0.391 0.116 0.250  0.11
O2 0.116 0.811 0.595  0.11
O3 0.616 0.689 0.095  0.11
O4 0.159 0.822 0.948  0.13
O5 0.884 0.189 0.405  0.11
O6 0.659 0.678 0.448  0.13
O7 0.109 0.616 0.250  0.11
O8 0.609 0.884 0.750  0.11
O9 0.891 0.384 0.750  0.11
O10 0.341 0.322 0.552  0.13
O11 0.841 0.178 0.052  0.13
O12 0.384 0.311 0.905  0.11
Zn1 0.552 0.509 0.718  0.01
Zn2 0.052 0.991 0.218  0.01
Zn3 0.948 0.009 0.782  0.01
Zn4 0.448 0.491 0.282  0.01
Cu1 0.500 0.000 0.500  0.51
Cu2 0.000 0.500 0.000  0.51

**M_tot**: 1.0 μB per formula unit
**Formation energy without anion corrections**: -15.925 eV per formula unit
**Symmetry**: No. 14
**N(E_F)**: 2.787 states/eV/cell

***

No. 13
This record from the Alexandria database describes a relaxed CsCaSmF6 crystal. The functional is GGA-PBE.

Lattice parameters (Å, degrees): 8.555 8.271 8.448 119.31 120.42 90.00
Each line ends with the local moment (μB).
Positions (direct):
Sm1 0.000 0.000 0.500  0.00
Sm2 0.500 0.000 0.500  0.00
Ca1 0.500 0.000 0.000  0.00
Ca2 0.500 0.500 0.000  0.00
F1 0.554 0.318 0.735  0.01
F2 0.181 0.318 0.735  0.01
F3 0.554 0.917 0.735  0.01
F4 0.819 0.083 0.265  0.01
F5 0.819 0.682 0.265  0.01
F6 0.446 0.083 0.265  0.01
F7 0.816 0.066 0.632  0.00
F8 0.432 0.682 0.864  0.07
F9 0.568 0.318 0.136  0.07
F10 0.181 0.917 0.735  0.01
F11 0.184 0.934 0.368  0.00
F12 0.446 0.682 0.265  0.01
Cs1 0.190 0.440 0.380  0.00
Cs2 0.810 0.560 0.620  0.00

**M_tot**: 0.1 μB per formula unit
**Formation energy without anion corrections**: -33.419 eV per formula unit
**Symmetry**: No. 74
**N(E_F)**: 0.000 states/eV/cell

***

No. 14
This record from the Alexandria database describes a relaxed MgTaRuRh crystal. The functional is GGA-PBE.

Lattice parameters (Å, degrees): 4.433 4.433 4.433 60.00 60.00 60.00
Positions (direct):
Rh1 0.250 0.250 0.250
Mg1 0.500 0.500 0.500
Ru1 0.750 0.750 0.750
Ta1 0.000 0.000 0.000

**Energy**: -32.20 eV/cell
**M_tot**: 0.0 μB per formula unit
**Symmetry**: No. 216
**N(E_F)**: 0.820 states/eV/cell

***

No. 15
This record from the Alexandria database describes a relaxed LiPrThRh crystal. The functional is GGA-PBE.

Lattice parameters (Å, degrees): 5.113 5.113 5.113 60.00 60.00 60.00
Positions (direct):
Pr1 0.250 0.250 0.250
Li1 0.000 0.000 0.000
Rh1 0.500 0.500 0.500
Th1 0.750 0.750 0.750

**Energy**: -22.48 eV/cell
**M_tot**: 0.0 μB per formula unit
**Symmetry**: No. 216
**N(E_F)**: 3.543 states/eV/cell

***

No. 16
This record from the Alexandria database describes a relaxed Sc2FeAu crystal. The functional is GGA-PBE.

Lattice parameters (Å, degrees): 9.380 9.380 9.380 18.97 18.97 18.97
Positions (direct):
Au1 0.000 0.000 0.000
Sc1 0.101 0.101 0.101
Sc2 0.899 0.899 0.899
Fe1 0.500 0.500 0.500

**Energy**: -23.94 eV/cell
**M_tot**: 0.0 μB per formula unit
**Symmetry**: No. 166
**N(E_F)**: 3.079 states/eV/cell

***

No. 17
This record from the Alexandria database describes a relaxed Pu12CdRh6 crystal. The functional is GGA-PBE.

Lattice parameters (Å, degrees): 7.829 7.829 7.829 101.09 101.09 101.09
Each line ends with the local moment (μB).
Positions (direct):
Rh1 0.164 0.741 0.164  0.33
Rh2 0.164 0.164 0.741  0.33
Rh3 0.259 0.836 0.836  0.33
Rh4 0.836 0.836 0.259  0.33
Rh5 0.836 0.259 0.836  0.33
Rh6 0.741 0.164 0.164  0.33
Pu1 0.552 0.817 0.552  5.38
Pu2 0.142 0.858 0.500  -4.84
Pu3 0.552 0.552 0.817  5.38
Pu4 0.183 0.448 0.448  5.38
Pu5 0.500 0.858 0.142  -4.84
Pu6 0.858 0.142 0.500  -4.84
Pu7 0.448 0.183 0.448  5.38
Pu8 0.858 0.500 0.142  -4.84
Pu9 0.142 0.500 0.858  -4.84
Pu10 0.817 0.552 0.552  5.38
Pu11 0.448 0.448 0.183  5.38
Pu12 0.500 0.142 0.858  -4.84
Cd1 0.000 0.000 0.000  0.00

**Energy**: -216.57 eV/cell
**M_tot**: 6.0 μB per formula unit
**Symmetry**: No. 166
**N(E_F)**: 85.538 states/eV/cell

***

No. 18
This record from the Alexandria database describes a relaxed TbPu2Pa crystal. The functional is GGA-PBE.

Lattice parameters (Å, degrees): 3.349 3.349 9.327 90.00 90.00 90.00
Each line ends with the local moment (μB).
Positions (direct):
Tb1 0.500 0.500 0.500  0.06
Pu1 0.000 0.000 0.777  5.11
Pu2 0.000 0.000 0.223  5.11
Pa1 0.500 0.500 0.000  0.07

**Energy**: -42.33 eV/cell
**M_tot**: 10.8 μB per formula unit
**Symmetry**: No. 123
**N(E_F)**: 10.777 states/eV/cell

***

No. 19
This record from the Alexandria database describes a relaxed Mg2ZrNi2 crystal. The functional is GGA-PBE.

Lattice parameters (Å, degrees): 3.752 3.752 6.541 73.33 73.33 90.00
Positions (direct):
Ni1 0.595 0.595 0.810
Ni2 0.405 0.405 0.190
Zr1 0.000 0.000 0.000
Mg1 0.250 0.750 0.500
Mg2 0.750 0.250 0.500

**Energy**: -23.66 eV/cell
**M_tot**: 0.0 μB per formula unit
**Symmetry**: No. 139
**N(E_F)**: 3.282 states/eV/cell

***

No. 20
This record from the Alexandria database describes a relaxed Li2NdZn6 crystal. The functional is GGA-PBE.

Lattice parameters (Å, degrees): 3.333 7.717 7.717 59.46 77.53 77.53
Positions (direct):
Zn1 0.500 0.661 0.339
Zn2 0.320 0.367 0.994
Zn3 0.320 0.994 0.367
Zn4 0.500 0.339 0.661
Zn5 0.680 0.006 0.633
Zn6 0.680 0.633 0.006
Nd1 0.000 0.000 0.000
Li1 0.859 0.641 0.641
Li2 0.141 0.359 0.359

**Energy**: -17.61 eV/cell
**M_tot**: 0.0 μB per formula unit
**Symmetry**: No. 71
**N(E_F)**: 3.052 states/eV/cell